Record 1
CeSi2Tc2B after structural relaxation, computed with PBE-GGA.

Output
As for the crystal system: tetragonal. For the uncorrected formation energy, the calculation gives -63.2 kJ per mole of atoms. The calculation puts the density of states at the Fermi level at 5.594 states/eV/f.u. The uncorrected energy comes out at -8.020 eV/atom.

Unit cell a=4.2171 b=4.2171 c=5.2681 alpha=90.00 beta=90.00 gamma=90.00
Closest atoms and distances in Å follow each position.
Fractional coordinates of all 6 atoms:
Si (0.5000, 0.5000, 0.2691)  1 Si 2.43, 4 Tc 2.54
Si (0.5000, 0.5000, 0.7309)  1 Si 2.43, 4 Tc 2.54
Ce (0.0000, 0.0000, 0.5000)  2 B 2.63
B (0.0000, 0.0000, 0.0000)  4 Tc 2.11
Tc (0.0000, 0.5000, 0.0000)  2 B 2.11
Tc (0.5000, 0.0000, 0.0000)  2 B 2.11

=====

Record 2
Rb3Dy3SnTe8 after structural relaxation, computed with PBE-GGA.

Output
As for the crystal system: monoclinic. For the uncorrected formation energy, the calculation gives -106.5 kJ per mole of atoms. The calculation puts the density of states at the Fermi level at 3.796 states/eV/f.u. The uncorrected energy comes out at -4.160 eV/atom.

Unit cell a=8.8600 b=8.8759 c=10.1794 alpha=115.92 beta=90.00 gamma=119.94
Closest atoms and distances in Å follow each position.
Fractional coordinates of all 15 atoms:
Dy (0.5000, 0.5000, 0.5000)  6 Te 3.09-3.10
Dy (0.5000, 0.0000, 0.5000)  6 Te 3.09-3.11
Dy (0.0000, 0.5000, 0.5000)  6 Te 3.09-3.10
Te (0.2297, 0.9656, 0.6952)  1 Sn 3.06, 2 Dy 3.09-3.10
Te (0.2641, 0.0344, 0.3048)  1 Sn 3.06, 2 Dy 3.09-3.10
Te (0.7703, 0.0344, 0.3048)  1 Sn 3.06, 2 Dy 3.09-3.10
Te (0.2299, 0.4598, 0.6953)  1 Sn 3.06, 2 Dy 3.09
Te (0.7332, 0.4664, 0.6997)  3 Dy 3.10-3.11
Te (0.7359, 0.9656, 0.6952)  1 Sn 3.06, 2 Dy 3.09-3.10
Te (0.7701, 0.5402, 0.3047)  1 Sn 3.06, 2 Dy 3.09
Te (0.2668, 0.5336, 0.3003)  3 Dy 3.10-3.11
Sn (0.0000, 0.0000, 0.5000)  6 Te 3.06
Rb (0.5000, 0.5000, 0.0000)  6 Te 3.68-3.70
Rb (0.0000, 0.0000, 0.0000)  6 Te 3.68-3.70
Rb (0.0000, 0.5000, 0.0000)  6 Te 3.68-3.70

=====

Record 3
LaIn2Fe after structural relaxation, computed with PBE-GGA.

Output
As for the crystal system: tetragonal. The calculation puts the density of states at the Fermi level at 4.473 states/eV/f.u. The uncorrected energy comes out at -4.691 eV/atom. For the formation energy, the calculation gives 0.026 eV/atom.

Unit cell a=4.4701 b=4.4706 c=4.8963 alpha=90.00 beta=90.00 gamma=90.00
Closest atoms and distances in Å follow each position.
Fractional coordinates of all 4 atoms:
La (0.5000, 0.0000, 0.5000)  4 Fe 3.16, 8 In 3.31-3.32
In (0.5000, 0.5000, 0.0000)  4 In 3.16, 4 Fe 3.31, 4 La 3.32
In (0.0000, 0.0000, 0.0000)  4 In 3.16, 4 La 3.31, 4 Fe 3.32
Fe (0.0000, 0.5000, 0.5000)  4 La 3.16, 8 In 3.31-3.32

=====

What did the third record say?
LaIn2Fe after structural relaxation, computed with PBE-GGA.

Output
As for the crystal system: tetragonal. The calculation puts the density of states at the Fermi level at 4.473 states/eV/f.u. The uncorrected energy comes out at -4.691 eV/atom. For the formation energy, the calculation gives 0.026 eV/atom.

Unit cell a=4.4701 b=4.4706 c=4.8963 alpha=90.00 beta=90.00 gamma=90.00
Closest atoms and distances in Å follow each position.
Fractional coordinates of all 4 atoms:
La (0.5000, 0.0000, 0.5000)  4 Fe 3.16, 8 In 3.31-3.32
In (0.5000, 0.5000, 0.0000)  4 In 3.16, 4 Fe 3.31, 4 La 3.32
In (0.0000, 0.0000, 0.0000)  4 In 3.16, 4 La 3.31, 4 Fe 3.32
Fe (0.0000, 0.5000, 0.5000)  4 La 3.16, 8 In 3.31-3.32

=====

Among the records above, which one has the lowest uncorrected energy? CeSi2Tc2B